{
  "formula": "CaCrPt2",
  "functional": "GGA-PBE",
  "state": "optimized geometry",
  "lattice_angstrom": [[-0.3749, -3.3859, -0.8976], [3.4018, -0.1367, -0.9055], [1.4542, -1.6765, 5.7165]],
  "species": ["Pt", "Pt", "Cr", "Ca"],
  "frac_coords": [[0.5000, 0.5000, 0.2381], [0.0000, 0.0000, 0.9635], [0.5000, 0.5000, 0.8216], [0.0000, 0.0000, 0.4768]],
  "de_polymorph_mev_per_atom": 246.1,
  "e_form_ev_per_atom": -0.169,
  "magmom_total_mub_per_fu": 3.73
}

=====

{
  "formula": "LiZnW",
  "functional": "GGA-PBE",
  "state": "optimized geometry",
  "lattice_angstrom": [[6.7963, 0.0132, 0.0000], [5.7679, 3.5946, 0.0000], [-6.2821, -1.8039, 1.8631]],
  "species": ["Li", "Zn", "W"],
  "frac_coords": [[0.0044, 0.0044, 0.0000], [0.6662, 0.6662, 0.0000], [0.3294, 0.3294, 0.0000]],
  "de_polymorph_mev_per_atom": 18.7,
  "e_form_ev_per_atom": 0.267,
  "magmom_total_mub_per_fu": 0.00
}